[1]
In5Hg3I12: relaxed, PBE.

## Properties
As for the space group: Ia-3d (230). For the density of states at the Fermi level, the calculation gives 1.111 states/eV/atom. The formation energy from raw total energies is -0.35 eV/atom.

Cell: 17.1964 17.1964 17.1964 Å, 109.47 109.47 109.47°
Atoms (fractional coordinates):
I (0.6976, 0.2174, 0.6030)
I (0.7174, 0.1144, 0.0198)
I (0.8970, 0.8024, 0.7826)
I (0.7174, 0.6030, 0.1976)
I (0.8024, 0.8970, 0.2826)
I (0.4054, 0.3856, 0.6030)
I (0.2174, 0.5198, 0.6144)
I (0.1030, 0.9054, 0.3856)
I (0.6030, 0.7174, 0.6976)
I (0.7826, 0.3024, 0.8970)
I (0.8856, 0.2826, 0.4802)
I (0.8024, 0.9054, 0.0198)
I (0.8856, 0.6030, 0.9054)
I (0.8970, 0.0946, 0.6144)
I (0.5946, 0.6144, 0.3970)
I (0.2174, 0.6976, 0.1030)
I (0.3024, 0.7826, 0.3970)
I (0.1144, 0.3970, 0.0946)
I (0.0198, 0.4054, 0.8024)
I (0.9054, 0.8024, 0.5198)
I (0.4802, 0.6976, 0.0946)
I (0.4802, 0.7826, 0.8856)
I (0.4054, 0.0198, 0.3024)
I (0.6030, 0.8856, 0.4054)
I (0.3970, 0.2826, 0.3024)
I (0.3970, 0.1144, 0.5946)
I (0.7826, 0.4802, 0.3856)
I (0.6144, 0.0198, 0.2174)
I (0.1144, 0.7174, 0.5198)
I (0.5198, 0.2174, 0.1144)
I (0.2826, 0.8856, 0.9802)
I (0.1976, 0.1030, 0.7174)
I (0.9802, 0.5946, 0.1976)
I (0.0946, 0.1976, 0.4802)
I (0.3856, 0.9802, 0.7826)
I (0.5198, 0.3024, 0.9054)
I (0.0198, 0.6144, 0.7174)
I (0.1976, 0.0946, 0.9802)
I (0.5946, 0.9802, 0.6976)
I (0.6976, 0.4802, 0.5946)
I (0.6144, 0.5946, 0.8970)
I (0.0946, 0.8970, 0.1144)
I (0.9054, 0.1030, 0.8856)
I (0.2826, 0.3970, 0.8024)
I (0.3856, 0.4054, 0.1030)
I (0.1030, 0.1976, 0.2174)
I (0.9802, 0.3856, 0.2826)
I (0.3024, 0.5198, 0.4054)
Hg (0.3750, 0.6250, 0.2500)
Hg (0.1250, 0.2500, 0.8750)
Hg (0.7500, 0.8750, 0.6250)
Hg (0.2500, 0.1250, 0.3750)
Hg (0.2500, 0.6250, 0.8750)
Hg (0.6250, 0.2500, 0.3750)
Hg (0.3750, 0.7500, 0.6250)
Hg (0.6250, 0.3750, 0.7500)
Hg (0.7500, 0.3750, 0.1250)
Hg (0.8750, 0.1250, 0.2500)
Hg (0.1250, 0.8750, 0.7500)
Hg (0.8750, 0.7500, 0.1250)
In (0.1250, 0.7500, 0.3750)
In (0.2500, 0.8750, 0.1250)
In (0.0000, 0.0000, 0.5000)
In (0.7500, 0.6250, 0.3750)
In (0.7500, 0.1250, 0.8750)
In (0.8750, 0.2500, 0.6250)
In (0.3750, 0.1250, 0.7500)
In (0.8750, 0.6250, 0.7500)
In (0.3750, 0.2500, 0.1250)
In (0.0000, 0.0000, 0.0000)
In (0.5000, 0.5000, 0.0000)
In (0.6250, 0.8750, 0.2500)
In (0.5000, 0.5000, 0.5000)
In (0.5000, 0.0000, 0.0000)
In (0.0000, 0.5000, 0.5000)
In (0.6250, 0.7500, 0.8750)
In (0.5000, 0.0000, 0.5000)
In (0.2500, 0.3750, 0.6250)
In (0.1250, 0.3750, 0.2500)
In (0.0000, 0.5000, 0.0000)

---

[2]
InHgI4: relaxed, PBE.

## Properties
As for the space group: P1 (1). For the density of states at the Fermi level, the calculation gives 0.079 states/eV/atom. The formation energy from raw total energies is -0.34 eV/atom.

Cell: 5.9731 8.2999 7.2566 Å, 117.54 84.53 115.07°
Atoms (fractional coordinates):
I (0.1788, 0.2619, 0.3796)
I (0.6242, 0.2272, 0.8767)
I (0.3733, 0.7225, 0.0781)
I (0.8809, 0.7812, 0.5531)
In (0.5306, 0.5243, 0.2092)
Hg (0.6622, 0.2329, 0.4033)

---

[3]
In3HgI4: relaxed, PBE.

## Properties
As for the space group: Pmn2_1 (31). For the density of states at the Fermi level, the calculation gives 0.286 states/eV/atom. The formation energy from raw total energies is -0.31 eV/atom.

Cell: 6.7896 11.2628 9.6139 Å, 90.00 90.00 90.00°
Atoms (fractional coordinates):
In (0.0641, 0.6517, 0.1988)
In (0.0641, 0.6517, 0.8012)
In (0.5641, 0.3483, 0.3012)
In (0.5639, 0.8807, 0.0000)
In (0.5641, 0.3483, 0.6988)
In (0.0639, 0.1193, 0.5000)
I (0.5643, 0.6463, 0.7787)
I (0.5650, 0.2060, 0.0000)
I (0.0646, 0.9092, 0.0000)
I (0.0643, 0.3537, 0.7213)
I (0.0650, 0.7940, 0.5000)
I (0.5643, 0.6463, 0.2213)
I (0.5646, 0.0908, 0.5000)
I (0.0643, 0.3537, 0.2787)
Hg (0.5652, 0.8085, 0.5000)
Hg (0.0652, 0.1915, 0.0000)

---

[4]
InHg2I: relaxed, PBE.

## Properties
As for the space group: P2_1/m (11). The formation energy from raw total energies is -0.23 eV/atom.

Cell: 4.8817 4.8920 11.8060 Å, 90.00 101.88 90.00°
Atoms (fractional coordinates):
Hg (0.5560, 0.2500, 0.1117)
Hg (0.4440, 0.7500, 0.8883)
Hg (0.0556, 0.7500, 0.1113)
Hg (0.9444, 0.2500, 0.8887)
I (0.3080, 0.2500, 0.6163)
I (0.6920, 0.7500, 0.3837)
In (0.1673, 0.2500, 0.3336)
In (0.8327, 0.7500, 0.6664)

---

[5]
InHgI2: relaxed, PBE.

## Properties
As for the space group: P2_1/m (11). For the density of states at the Fermi level, the calculation gives 0.280 states/eV/atom. The formation energy from raw total energies is -0.32 eV/atom.

Cell: 4.6512 9.0591 10.9748 Å, 129.33 90.00 90.00°
Atoms (fractional coordinates):
In (0.7500, 0.1678, 0.7754)
In (0.2500, 0.8322, 0.2246)
I (0.2500, 0.7359, 0.9211)
I (0.2500, 0.2397, 0.4208)
I (0.7500, 0.7603, 0.5792)
I (0.7500, 0.2641, 0.0789)
Hg (0.7500, 0.6943, 0.2708)
Hg (0.2500, 0.3057, 0.7292)

---

[6]
InHgI2: relaxed, PBE.

## Properties
As for the space group: P-1 (2). For the density of states at the Fermi level, the calculation gives 0.508 states/eV/atom. The formation energy from raw total energies is -0.24 eV/atom.

Cell: 4.7311 4.7304 7.0080 Å, 89.99 90.12 93.67°
Atoms (fractional coordinates):
I (0.5000, 0.0000, 0.0000)
I (0.0000, 0.5000, 0.5000)
Hg (0.0000, 0.5000, 0.0000)
In (0.5000, 0.0000, 0.5000)

---

The records above give, respectively, VASP energy values of -2.008 -1.879 -2.146 -1.449 -1.852 -1.780 eV per atom.